(1)
Computed, not measured: a geometry-optimized Tm6TlHg2 structure at the PBE level of DFT.

## Properties
Volume: 503.0 Å³/cell
Calculated formation energy: -0.2496 eV per atom
Magnetization: 0.00 μB per cell
Crystal system: orthorhombic
Electronic total energy: -64.09 eV/cell
SG: Immm, No. 71

a = 8.684 Å, b = 8.684 Å, c = 8.684 Å
α = 106.37°, β = 111.37°, γ = 110.71°
Atoms (fractional coordinates):
Tm 0.544 0.725 0.818
Tm 0.456 0.275 0.182
Tm 0.093 0.275 0.818
Tm 0.907 0.725 0.182
Tm 0.799 0.755 0.554
Tm 0.201 0.245 0.446
Tm 0.201 0.755 0.956
Tm 0.799 0.245 0.044
Tm 0.716 0.393 0.677
Tm 0.284 0.607 0.323
Tm 0.284 0.962 0.677
Tm 0.716 0.038 0.323
Tl 0.000 0.500 0.500
Tl 0.000 0.000 0.000
Hg 0.500 0.364 0.864
Hg 0.500 0.636 0.136
Hg 0.653 0.000 0.653
Hg 0.347 0.000 0.347

=====

(2)
Computed, not measured: a geometry-optimized KFe2Os structure at the PBE level of DFT.

## Properties
Volume: 64.6 Å³/cell
Calculated formation energy: 0.8027 eV per atom
Magnetization: 5.05 μB per cell
Crystal system: orthorhombic
Electronic total energy: -26.04 eV/cell
SG: Cmm2, No. 35

a = 2.691 Å, b = 2.691 Å, c = 9.813 Å
α = 90.00°, β = 90.00°, γ = 114.63°
Atoms (fractional coordinates):
Fe 0.000 0.000 0.006
Fe 0.500 0.500 0.198
K 0.000 0.000 0.501
Os 0.500 0.500 0.794

=====

(3)
Computed, not measured: a geometry-optimized Rb2TlSn2Pb2 structure at the PBE level of DFT.

## Properties
Volume: 277.8 Å³/cell
Calculated formation energy: -0.0667 eV per atom
Magnetization: 0.00 μB per cell
Crystal system: monoclinic
Electronic total energy: -20.19 eV/cell
SG: C2/m, No. 12

a = 5.787 Å, b = 8.117 Å, c = 6.960 Å
α = 81.61°, β = 65.44°, γ = 69.12°
Atoms (fractional coordinates):
Rb 0.578 0.193 0.652
Rb 0.422 0.807 0.348
Tl 0.000 0.000 0.000
Sn 0.225 0.619 0.931
Sn 0.775 0.381 0.069
Pb 0.171 0.357 0.300
Pb 0.829 0.643 0.700

=====

(4)
Computed, not measured: a geometry-optimized Pm2PuO structure at the PBE level of DFT.

## Properties
Volume: 102.3 Å³/cell
Magnetization: 6.23 μB per cell
Crystal system: trigonal
Electronic total energy: -32.96 eV/cell
SG: R-3m, No. 166

a = 3.538 Å, b = 3.538 Å, c = 9.656 Å
α = 79.44°, β = 79.44°, γ = 60.00°
Atoms (fractional coordinates):
Pm 0.117 0.117 0.648
Pm 0.883 0.883 0.352
O 0.500 0.500 0.500
Pu 0.000 0.000 0.000

=====

(5)
Computed, not measured: a geometry-optimized Te5P4 structure at the PBE level of DFT.

## Properties
Volume: 240.9 Å³/cell
Magnetization: 0.00 μB per cell
Crystal system: tetragonal
Electronic total energy: -33.76 eV/cell
SG: I4/mmm, No. 139

a = 8.254 Å, b = 8.254 Å, c = 8.254 Å
α = 92.92°, β = 92.92°, γ = 153.91°
Atoms (fractional coordinates):
Te 0.000 0.000 0.000
Te 0.682 0.318 0.000
Te 0.318 0.682 0.000
Te 0.318 0.318 0.635
Te 0.682 0.682 0.365
P 0.600 0.000 0.600
P 0.400 0.000 0.400
P 0.000 0.400 0.400
P 0.000 0.600 0.600

=====

(6)
Computed, not measured: a geometry-optimized Rb2NaAsF structure at the PBE level of DFT.

## Properties
Volume: 147.3 Å³/cell
Magnetization: 0.00 μB per cell
Crystal system: tetragonal
Electronic total energy: -15.34 eV/cell
SG: P4/mmm, No. 123

a = 5.746 Å, b = 5.746 Å, c = 4.461 Å
α = 90.00°, β = 90.00°, γ = 90.00°
Atoms (fractional coordinates):
Na 0.000 0.000 0.500
As 0.500 0.500 0.500
Rb 0.000 0.500 0.000
Rb 0.500 0.000 0.000
F 0.000 0.000 0.000

=====

(7)
Computed, not measured: a geometry-optimized Sr2CaAlOs structure at the PBE level of DFT.

## Properties
Volume: 181.3 Å³/cell
Calculated formation energy: 0.5339 eV per atom
Magnetization: 0.00 μB per cell
Crystal system: tetragonal
Electronic total energy: -17.67 eV/cell
SG: P4/mmm, No. 123

a = 5.742 Å, b = 5.498 Å, c = 5.742 Å
α = 90.00°, β = 90.00°, γ = 90.00°
Atoms (fractional coordinates):
Sr 0.000 0.000 0.500
Sr 0.500 0.000 0.000
Ca 0.000 0.500 0.000
Os 0.000 0.000 0.000
Al 0.500 0.500 0.500

=====

(8)
Computed, not measured: a geometry-optimized ErPa2Re structure at the PBE level of DFT.

## Properties
Volume: 97.3 Å³/cell
Calculated formation energy: 0.1305 eV per atom
Magnetization: 0.00 μB per cell
Crystal system: tetragonal
Electronic total energy: -35.48 eV/cell
SG: P4/mmm, No. 123

a = 3.306 Å, b = 3.306 Å, c = 8.899 Å
α = 90.00°, β = 90.00°, γ = 90.00°
Atoms (fractional coordinates):
Re 0.500 0.500 0.000
Pa 0.000 0.000 0.796
Pa 0.000 0.000 0.204
Er 0.500 0.500 0.500